Below is FePtF2 after structural relaxation, with properties calculated at the PBE+U level.

space group	Fm-3m (225)
DFT total energy	-4.165	eV per atom

Cell: 4.168 4.168 4.168 Å, 60.00 60.00 60.00°
Positions (direct):
Fe (0.000, 0.000, 0.000)
Pt (0.500, 0.500, 0.500)
F (0.250, 0.250, 0.250)
F (0.750, 0.750, 0.750)